Material: ZnPt2Cl
Method: DFT, PBE
State: relaxed

Computed properties:
DOS at the Fermi energy ... 0.758 states/eV per atom
Energy relative to the elements, uncorrected ... 0.01 eV per atom

Lattice parameters (Å, degrees): 5.159 5.159 4.647 79.96 79.96 32.86
Sites, in units of the cell vectors:
Cl 0.750 0.750 0.750
Pt 0.965 0.965 0.021
Pt 0.535 0.535 0.479
Zn 0.250 0.250 0.250


Material: Ac2LaIn
Method: DFT, PBE
State: relaxed

Computed properties:
Formation enthalpy at 0 K ... -0.211 eV per atom
DOS at the Fermi energy ... 1.698 states/eV per atom

Lattice parameters (Å, degrees): 5.161 5.298 5.298 90.00 90.00 90.00
Sites, in units of the cell vectors:
Ac 0.000 0.000 0.500
Ac 0.000 0.500 0.000
In 0.500 0.500 0.500
La 0.500 0.000 0.000


Material: DyP2Pd7Pb2
Method: DFT, PBE
State: relaxed

Computed properties:
Formation enthalpy at 0 K ... -0.499 eV per atom
DOS at the Fermi energy ... 0.464 states/eV per atom

Lattice parameters (Å, degrees): 4.123 4.123 13.598 83.94 83.94 89.64
Sites, in units of the cell vectors:
Dy 0.000 0.000 0.000
P 0.586 0.586 0.755
P 0.414 0.414 0.245
Pd 0.500 0.500 0.000
Pd 0.393 0.393 0.417
Pd 0.607 0.607 0.583
Pd 0.943 0.443 0.157
Pd 0.443 0.943 0.157
Pd 0.557 0.057 0.843
Pd 0.057 0.557 0.843
Pb 0.896 0.896 0.381
Pb 0.104 0.104 0.619